Entry a
The following is a DFT calculation (PBE-GGA) of a geometry-optimized TbDy4Sc3 structure.

Unit cell a=10.910 b=7.031 c=6.065 alpha=90.00 beta=90.00 gamma=90.00
Fractional coordinates of all 16 atoms:
Tb: 0.000 0.118 0.000
Tb: 0.500 0.882 0.500
Dy: 0.000 0.369 0.496
Dy: 0.000 0.631 0.988
Dy: 0.246 0.631 0.333
Dy: 0.254 0.369 0.833
Dy: 0.500 0.369 0.488
Dy: 0.500 0.631 0.996
Dy: 0.746 0.369 0.833
Dy: 0.754 0.631 0.333
Sc: 0.000 0.880 0.500
Sc: 0.249 0.119 0.328
Sc: 0.251 0.881 0.828
Sc: 0.500 0.120 0.000
Sc: 0.749 0.881 0.828
Sc: 0.751 0.119 0.328

## Properties
* calculated volume: 29.08 Å³/atom


Entry b
The following is a DFT calculation (PBE-GGA) of a geometry-optimized TbDy4Sc3 structure.

Unit cell a=8.535 b=8.535 c=3.369 alpha=101.32 beta=101.32 gamma=81.23
Fractional coordinates of all 8 atoms:
Tb: 0.000 0.000 0.000
Dy: 0.124 0.607 0.365
Dy: 0.393 0.876 0.635
Dy: 0.607 0.124 0.365
Dy: 0.876 0.393 0.635
Sc: 0.262 0.262 0.763
Sc: 0.500 0.500 0.500
Sc: 0.738 0.738 0.237

## Properties
* calculated volume: 29.29 Å³/atom


Q: Which of them is the most stable? A: entry a.


Entry a
The following is a DFT calculation (PBE-GGA) of a geometry-optimized Tb2Dy2Sc3 structure.

Unit cell a=8.067 b=8.067 c=8.067 alpha=109.47 beta=109.47 gamma=109.47
Fractional coordinates of all 14 atoms:
Tb: 0.000 0.824 0.500
Tb: 0.500 0.000 0.824
Tb: 0.676 0.676 0.676
Tb: 0.824 0.500 0.000
Dy: 0.000 0.427 0.500
Dy: 0.073 0.073 0.073
Dy: 0.427 0.500 0.000
Dy: 0.500 0.000 0.427
Sc: 0.204 0.750 0.954
Sc: 0.250 0.546 0.296
Sc: 0.296 0.250 0.546
Sc: 0.546 0.296 0.250
Sc: 0.750 0.954 0.204
Sc: 0.954 0.204 0.750

## Properties
* calculated volume: 28.86 Å³/atom


Entry b
The following is a DFT calculation (PBE-GGA) of a geometry-optimized Tb2Dy2Sc3 structure.

Unit cell a=7.651 b=7.651 c=8.355 alpha=111.13 beta=111.13 gamma=25.95
Fractional coordinates of all 7 atoms:
Tb: 0.143 0.143 0.422
Tb: 0.857 0.857 0.578
Dy: 0.425 0.425 0.277
Dy: 0.575 0.575 0.723
Sc: 0.000 0.000 0.000
Sc: 0.288 0.288 0.865
Sc: 0.712 0.712 0.135

## Properties
* calculated volume: 28.40 Å³/atom


Q: Which of them is the most stable? A: entry b.


Entry a
The following is a DFT calculation (PBE-GGA) of a geometry-optimized TbDySc2 structure.

Unit cell a=4.889 b=4.889 c=4.665 alpha=90.00 beta=90.00 gamma=90.00
Fractional coordinates of all 4 atoms:
Tb: 0.000 0.000 0.000
Dy: 0.500 0.500 0.000
Sc: 0.000 0.500 0.500
Sc: 0.500 0.000 0.500

## Properties
* calculated volume: 27.88 Å³/atom


Entry b
The following is a DFT calculation (PBE-GGA) of a geometry-optimized TbDySc2 structure.

Unit cell a=5.410 b=5.410 c=5.410 alpha=60.00 beta=60.00 gamma=60.00
Fractional coordinates of all 4 atoms:
Tb: 0.000 0.000 0.000
Dy: 0.500 0.500 0.500
Sc: 0.250 0.250 0.250
Sc: 0.750 0.750 0.750

## Properties
* calculated volume: 27.99 Å³/atom


Q: Which of them is the most stable? A: entry a.


Entry a
The following is a DFT calculation (PBE-GGA) of a geometry-optimized TbDySc2 structure.

Unit cell a=11.088 b=11.088 c=11.088 alpha=17.87 beta=17.87 gamma=17.87
Fractional coordinates of all 4 atoms:
Tb: 0.000 0.000 0.000
Dy: 0.834 0.834 0.834
Sc: 0.250 0.250 0.250
Sc: 0.417 0.417 0.417

## Properties
* calculated volume: 28.01 Å³/atom


Entry b
The following is a DFT calculation (PBE-GGA) of a geometry-optimized TbDySc2 structure.

Unit cell a=3.425 b=3.425 c=10.936 alpha=90.00 beta=90.00 gamma=120.00
Fractional coordinates of all 4 atoms:
Tb: 0.000 0.000 0.000
Dy: 0.000 0.000 0.500
Sc: 0.333 0.667 0.250
Sc: 0.667 0.333 0.750

## Properties
* calculated volume: 27.78 Å³/atom


Q: Which of them is the most stable? A: entry b.


Entry a
The following is a DFT calculation (PBE-GGA) of a geometry-optimized TbDySc2 structure.

Unit cell a=5.802 b=5.802 c=3.459 alpha=90.00 beta=90.00 gamma=106.56
Fractional coordinates of all 4 atoms:
Tb: 0.000 0.000 0.000
Dy: 0.500 0.500 0.000
Sc: 0.000 0.500 0.500
Sc: 0.500 0.000 0.500

## Properties
* calculated volume: 27.90 Å³/atom


Entry b
The following is a DFT calculation (PBE-GGA) of a geometry-optimized TbDySc2 structure.

Unit cell a=11.129 b=11.129 c=11.129 alpha=17.69 beta=17.69 gamma=17.69
Fractional coordinates of all 4 atoms:
Tb: 0.000 0.000 0.000
Dy: 0.500 0.500 0.500
Sc: 0.250 0.250 0.250
Sc: 0.750 0.750 0.750

## Properties
* calculated volume: 27.79 Å³/atom


Q: Which of them is the most stable? A: entry a.


Entry a
The following is a DFT calculation (PBE-GGA) of a geometry-optimized Tb4Dy2Sc5 structure.

Unit cell a=8.742 b=3.441 c=11.176 alpha=90.00 beta=108.65 gamma=90.00
Fractional coordinates of all 11 atoms:
Tb: 0.238 0.000 0.217
Tb: 0.252 0.000 0.653
Tb: 0.748 0.000 0.347
Tb: 0.762 0.000 0.783
Dy: 0.135 0.500 0.908
Dy: 0.865 0.500 0.092
Sc: 0.090 0.500 0.398
Sc: 0.495 0.500 0.132
Sc: 0.500 0.500 0.500
Sc: 0.505 0.500 0.868
Sc: 0.910 0.500 0.602

## Properties
* calculated volume: 28.96 Å³/atom


Entry b
The following is a DFT calculation (PBE-GGA) of a geometry-optimized Tb4Dy2Sc5 structure.

Unit cell a=11.448 b=11.448 c=8.424 alpha=92.91 beta=92.91 gamma=16.89
Fractional coordinates of all 11 atoms:
Tb: 0.046 0.046 0.336
Tb: 0.271 0.271 0.178
Tb: 0.729 0.729 0.822
Tb: 0.954 0.954 0.664
Dy: 0.412 0.412 0.304
Dy: 0.588 0.588 0.696
Sc: 0.129 0.129 0.033
Sc: 0.188 0.188 0.480
Sc: 0.500 0.500 0.000
Sc: 0.812 0.812 0.520
Sc: 0.871 0.871 0.967

## Properties
* calculated volume: 29.12 Å³/atom


Q: Which of them is the most stable? A: entry a.


Entry a
The following is a DFT calculation (PBE-GGA) of a geometry-optimized TbDy5Sc4 structure.

Unit cell a=3.475 b=3.475 c=23.635 alpha=90.00 beta=90.00 gamma=90.00
Fractional coordinates of all 10 atoms:
Tb: 0.000 0.000 0.000
Dy: 0.500 0.500 0.108
Dy: 0.500 0.500 0.304
Dy: 0.500 0.500 0.500
Dy: 0.500 0.500 0.696
Dy: 0.500 0.500 0.892
Sc: 0.000 0.000 0.206
Sc: 0.000 0.000 0.402
Sc: 0.000 0.000 0.598
Sc: 0.000 0.000 0.794

## Properties
* calculated volume: 28.54 Å³/atom


Entry b
The following is a DFT calculation (PBE-GGA) of a geometry-optimized TbDy5Sc4 structure.

Unit cell a=8.761 b=8.761 c=7.668 alpha=90.00 beta=90.00 gamma=90.00
Fractional coordinates of all 20 atoms:
Tb: 0.250 0.250 0.123
Tb: 0.750 0.750 0.877
Dy: 0.058 0.058 0.800
Dy: 0.058 0.442 0.800
Dy: 0.250 0.750 0.000
Dy: 0.442 0.058 0.800
Dy: 0.442 0.442 0.800
Dy: 0.558 0.558 0.200
Dy: 0.558 0.942 0.200
Dy: 0.750 0.250 0.000
Dy: 0.942 0.558 0.200
Dy: 0.942 0.942 0.200
Sc: 0.020 0.750 0.588
Sc: 0.250 0.520 0.412
Sc: 0.250 0.980 0.412
Sc: 0.480 0.750 0.588
Sc: 0.520 0.250 0.412
Sc: 0.750 0.020 0.588
Sc: 0.750 0.480 0.588
Sc: 0.980 0.250 0.412

## Properties
* calculated volume: 29.43 Å³/atom


Q: Which of them is the most stable? A: entry a.


Entry a
The following is a DFT calculation (PBE-GGA) of a geometry-optimized Tb4Dy7Sc structure.

Unit cell a=6.613 b=6.613 c=12.713 alpha=114.68 beta=114.68 gamma=51.89
Fractional coordinates of all 12 atoms:
Tb: 0.140 0.140 0.275
Tb: 0.290 0.290 0.837
Tb: 0.710 0.710 0.163
Tb: 0.860 0.860 0.725
Dy: 0.000 0.000 0.500
Dy: 0.132 0.132 0.992
Dy: 0.293 0.293 0.575
Dy: 0.424 0.424 0.201
Dy: 0.576 0.576 0.799
Dy: 0.707 0.707 0.425
Dy: 0.868 0.868 0.008
Sc: 0.500 0.500 0.500

## Properties
* calculated volume: 32.29 Å³/atom


Entry b
The following is a DFT calculation (PBE-GGA) of a geometry-optimized Tb4Dy7Sc structure.

Unit cell a=6.154 b=7.116 c=8.761 alpha=78.25 beta=83.31 gamma=90.00
Fractional coordinates of all 12 atoms:
Tb: 0.000 0.000 0.000
Tb: 0.106 0.665 0.336
Tb: 0.502 0.254 0.996
Tb: 0.611 0.914 0.338
Dy: 0.112 0.168 0.333
Dy: 0.220 0.335 0.667
Dy: 0.221 0.831 0.667
Dy: 0.499 0.749 0.996
Dy: 0.611 0.418 0.338
Dy: 0.723 0.083 0.668
Dy: 0.995 0.502 0.997
Sc: 0.721 0.583 0.667

## Properties
* calculated volume: 31.08 Å³/atom


Q: Which of them is the most stable? A: entry b.